Compound: TcPt3N
Source: the Alexandria database
Functional: PBEsol
Structure: optimized geometry

The density of states at the Fermi level comes out at 1.558 states/eV/atom. The total DFT energy (no corrections) is -7.3188 eV/atom. Its mass density is 16.5 g cm⁻³. The formation energy from raw total energies is 818 meV per atom.

The space group is Pm-3m (No. 221) and the conventional cell measures 4.1244, 4.1244 and 4.1244 Å, with angles of 90.00, 90.00 and 90.00 degrees. The inequivalent atoms are Tc at (0.0000, 0.0000, 0.0000), Pt at (0.0000, 0.5000, 0.5000) and N at (0.5000, 0.5000, 0.5000).